# 1
{"formula": "Y2HoEr2Tm4", "functional": "PBE-GGA", "state": "relaxed", "lattice": [[-3.529, 0.067, 0.146], [1.724, -8.032, 2.610], [0.432, 4.732, 8.273]], "species": ["Y", "Y", "Ho", "Er", "Er", "Tm", "Tm", "Tm", "Tm"], "frac_coords": [[0.847, 0.694, 0.411], [0.153, 0.306, 0.589], [0.000, 0.000, 0.000], [0.336, 0.672, 0.077], [0.664, 0.328, 0.923], [0.823, 0.647, 0.762], [0.177, 0.353, 0.238], [0.517, 0.033, 0.325], [0.483, 0.967, 0.675]], "e_form_ev_per_atom": 0.022, "total_magnetization_mub_per_fu": 0.00, "final_energy_ry_per_atom": -0.362}



# 2
{"formula": "Ir2WBr", "functional": "PBE-GGA", "state": "relaxed", "lattice": [[-0.222, -1.887, 2.151], [2.449, 0.990, 1.121], [-4.386, 5.699, 4.547]], "species": ["Ir", "Ir", "Br", "W"], "frac_coords": [[0.000, 0.000, 0.049], [0.500, 0.500, 0.274], [0.500, 0.500, 0.692], [0.000, 0.000, 0.484]], "formation_energy_uncorrected_kcal_per_mol_atoms": 14.4, "total_magnetization_mub_per_fu": 0.00, "final_energy_ry_per_atom": -0.549}



# 3
{"formula": "RbVHgI6", "functional": "PBE-GGA", "state": "relaxed", "lattice": [[-3.082, -4.725, -5.538], [4.606, -4.998, -3.895], [1.525, -4.154, 6.207]], "species": ["Rb", "V", "Hg", "I", "I", "I", "I", "I", "I"], "frac_coords": [[0.746, 0.604, 0.601], [0.339, 0.323, 0.483], [0.885, 0.087, 0.166], [0.929, 0.434, 0.195], [0.335, 0.030, 0.673], [0.767, 0.146, 0.736], [0.221, 0.580, 0.695], [0.253, 0.682, 0.222], [0.525, 0.116, 0.228]], "formation_energy_uncorrected_kcal_per_mol_atoms": -12.9, "total_magnetization_mub_per_fu": 2.00, "final_energy_ry_per_atom": -0.202}



# 4
{"formula": "ZnCuTcRu", "functional": "PBE-GGA", "state": "relaxed", "lattice": [[-4.158, 0.780, -0.561], [-2.911, -2.510, 1.855], [-2.348, 1.488, 3.238]], "species": ["Ru", "Zn", "Tc", "Cu"], "frac_coords": [[0.250, 0.250, 0.250], [0.000, 0.000, 0.000], [0.500, 0.500, 0.500], [0.750, 0.750, 0.750]], "e_form_ev_per_atom": 0.141, "total_magnetization_mub_per_fu": 0.00, "final_energy_ry_per_atom": -0.449}



# 5
{"formula": "CaHfSc2Cl", "functional": "PBE-GGA", "state": "relaxed", "lattice": [[4.913, 0.000, 0.000], [0.000, 5.145, 0.000], [0.000, 0.000, 4.913]], "species": ["Sc", "Sc", "Ca", "Hf", "Cl"], "frac_coords": [[0.000, 0.000, 0.500], [0.500, 0.000, 0.000], [0.000, 0.500, 0.000], [0.500, 0.500, 0.500], [0.000, 0.000, 0.000]], "formation_energy_uncorrected_kcal_per_mol_atoms": -2.0, "total_magnetization_mub_per_fu": 0.00, "final_energy_ry_per_atom": -0.395}



# 6
{"formula": "ZrPaTi2", "functional": "PBE-GGA", "state": "relaxed", "lattice": [[3.363, 0.000, 0.000], [0.000, 3.363, 0.000], [0.000, 0.000, 7.193]], "species": ["Pa", "Zr", "Ti", "Ti"], "frac_coords": [[0.500, 0.500, 0.500], [0.500, 0.500, 0.000], [0.000, 0.000, 0.732], [0.000, 0.000, 0.268]], "e_form_ev_per_atom": 0.107, "total_magnetization_mub_per_fu": 0.00, "final_energy_ry_per_atom": -0.614}